The following is a PBE calculation of PmEuEr2 after structural relaxation, from Alexandria via LeMat-Bulk.

Calculated values
Excess energy over the best structure of this formula in the dataset: 105 meV per atom
Crystal system: trigonal
V: 408.9 Å³/cell
Formation enthalpy at 0 K: 173 meV/atom

Unit cell a=3.5422 b=3.5422 c=37.6268 alpha=90.00 beta=90.00 gamma=120.00
Space group R-3m (No. 166, hexagonal axes)
One atom of each set of equivalent atoms:
Pm 0.0000 0.0000 0.0000 [3 per cell]
Eu 0.0000 0.0000 0.5000 [3 per cell]
Er 0.0000 0.0000 0.4094 [6 per cell]

The following is a PBE calculation of U2Co3Ge4Pt after structural relaxation, from Alexandria via LeMat-Bulk.

Calculated values
Crystal system: tetragonal
V: 162.1 Å³/cell
Formation enthalpy at 0 K: -402 meV/atom

Unit cell a=4.056 b=4.056 c=9.852 alpha=90.00 beta=90.00 gamma=90.00
Space group P-4m2 (No. 115)
One atom of each set of equivalent atoms:
U 0.000 0.500 0.241 [2 per cell]
Co 0.000 0.500 0.875 [2 per cell]
Co 0.500 0.500 0.500 [1 per cell]
Ge 0.000 0.000 0.000 [1 per cell]
Ge 0.000 0.500 0.644 [2 per cell]
Ge 0.500 0.500 0.000 [1 per cell]
Pt 0.000 0.000 0.500 [1 per cell]

The following is a PBE calculation of Tc2PtCl after structural relaxation, from Alexandria via LeMat-Bulk.

Calculated values
Excess energy over the best structure of this formula in the dataset: 11 meV per atom
Crystal system: tetragonal
Formation energy without anion corrections: 129.5 meV/atom
V: 69.1 Å³/cell

Unit cell a=2.826 b=2.826 c=8.653 alpha=90.00 beta=90.00 gamma=90.00
Space group P4mm (No. 99)
One atom of each set of equivalent atoms:
Tc 0.000 0.000 0.000 [1 per cell]
Tc 0.500 0.500 0.199 [1 per cell]
Pt 0.500 0.500 0.776 [1 per cell]
Cl 0.000 0.000 0.395 [1 per cell]

The following is a PBE calculation of RbSrTiF6 after structural relaxation, from Alexandria via LeMat-Bulk.

Calculated values
Crystal system: orthorhombic
Formation energy without anion corrections: -3417.2 meV/atom
V: 643.9 Å³/cell

Unit cell a=7.689 b=8.030 c=10.428 alpha=90.00 beta=90.00 gamma=90.00
Space group Imma (No. 74)
One atom of each set of equivalent atoms:
Rb 0.000 0.250 0.099 [4 per cell]
Sr 0.000 0.000 0.500 [4 per cell]
Ti 0.250 0.250 0.750 [4 per cell]
F 0.000 0.250 0.377 [4 per cell]
F 0.000 0.250 0.684 [4 per cell]
F 0.219 0.075 0.879 [16 per cell]

The following is a PBE calculation of ZrTe2Cl after structural relaxation, from Alexandria via LeMat-Bulk.

Calculated values
Excess energy over the best structure of this formula in the dataset: 664 meV per atom
Crystal system: orthorhombic
Formation energy without anion corrections: -181.3 meV/atom
V: 96.8 Å³/cell

Unit cell a=3.767 b=4.793 c=5.360 alpha=90.00 beta=90.00 gamma=90.00
Space group Pmmm (No. 47)
One atom of each set of equivalent atoms:
Zr 0.000 0.000 0.000 [1 per cell]
Te 0.000 0.500 0.500 [1 per cell]
Te 0.500 0.000 0.500 [1 per cell]
Cl 0.500 0.500 0.000 [1 per cell]

The following is a PBE calculation of Ca2ZnRe after structural relaxation, from Alexandria via LeMat-Bulk.

Calculated values
Crystal system: orthorhombic
V: 88.5 Å³/cell
Formation enthalpy at 0 K: 501 meV/atom

Unit cell a=2.955 b=3.581 c=8.366 alpha=90.00 beta=90.00 gamma=90.00
Space group Pmmm (No. 47)
One atom of each set of equivalent atoms:
Ca 0.000 0.000 0.236 [2 per cell]
Zn 0.500 0.500 0.500 [1 per cell]
Re 0.500 0.500 0.000 [1 per cell]

The following is a PBE calculation of Na2Al2As3 after structural relaxation, from Alexandria via LeMat-Bulk.

Calculated values
Excess energy over the best structure of this formula in the dataset: 93 meV per atom
Crystal system: monoclinic
V: 1339.9 Å³/cell
Formation enthalpy at 0 K: -409 meV/atom

Unit cell a=15.681 b=13.940 c=6.698 alpha=90.00 beta=113.78 gamma=90.00
Space group C2/c (No. 15)
One atom of each set of equivalent atoms:
Na 0.000 0.065 0.250 [4 per cell]
Na 0.000 0.212 0.750 [4 per cell]
Na 0.101 0.415 0.088 [8 per cell]
Al 0.199 0.225 0.642 [8 per cell]
Al 0.228 0.076 0.185 [8 per cell]
As 0.108 0.374 0.625 [8 per cell]
As 0.137 0.219 0.235 [8 per cell]
As 0.160 0.072 0.777 [8 per cell]

The following is a PBE calculation of TmBe2F8 after structural relaxation, from Alexandria via LeMat-Bulk.

Calculated values
Crystal system: monoclinic
Formation energy without anion corrections: -3103.1 meV/atom
V: 237.9 Å³/cell

Unit cell a=9.885 b=4.520 c=5.750 alpha=90.00 beta=112.18 gamma=90.00
Space group C2/m (No. 12)
One atom of each set of equivalent atoms:
Tm 0.000 0.000 0.000 [2 per cell]
Be 0.210 0.000 0.676 [4 per cell]
F 0.122 0.238 0.775 [8 per cell]
F 0.125 0.500 0.174 [4 per cell]
F 0.163 0.000 0.389 [4 per cell]

The following is a PBE calculation of NpSi2Pd after structural relaxation, from Alexandria via LeMat-Bulk.

Calculated values
Crystal system: orthorhombic
Formation energy without anion corrections: -507.6 meV/atom
V: 282.9 Å³/cell

Unit cell a=7.236 b=3.926 c=9.957 alpha=90.00 beta=90.00 gamma=90.00
Space group Pnma (No. 62)
One atom of each set of equivalent atoms:
Np 0.129 0.250 0.126 [4 per cell]
Si 0.163 0.250 0.814 [4 per cell]
Si 0.225 0.250 0.428 [4 per cell]
Pd 0.006 0.750 0.391 [4 per cell]

The following is a PBE calculation of V2CuNiP after structural relaxation, from Alexandria via LeMat-Bulk.

Calculated values
Crystal system: tetragonal
V: 80.1 Å³/cell
Formation enthalpy at 0 K: 1154 meV/atom

Unit cell a=4.355 b=4.355 c=4.223 alpha=90.00 beta=90.00 gamma=90.00
Space group P4/mmm (No. 123)
One atom of each set of equivalent atoms:
V 0.000 0.500 0.000 [2 per cell]
Cu 0.000 0.000 0.000 [1 per cell]
Ni 0.000 0.000 0.500 [1 per cell]
P 0.500 0.500 0.500 [1 per cell]

The following is a PBE calculation of BeVS2 after structural relaxation, from Alexandria via LeMat-Bulk.

Calculated values
Crystal system: tetragonal
Formation energy without anion corrections: -714.7 meV/atom
V: 274.7 Å³/cell

Unit cell a=5.324 b=5.324 c=9.693 alpha=90.00 beta=90.00 gamma=90.00
Space group I-42d (No. 122)
One atom of each set of equivalent atoms:
Be 0.000 0.000 0.000 [4 per cell]
V 0.000 0.000 0.500 [4 per cell]
S 0.207 0.250 0.125 [8 per cell]

The following is a PBE calculation of ErTm2Mg8 after structural relaxation, from Alexandria via LeMat-Bulk.

Calculated values
Crystal system: orthorhombic
V: 571.0 Å³/cell
Formation enthalpy at 0 K: 72 meV/atom

Unit cell a=5.286 b=7.847 c=13.766 alpha=90.00 beta=90.00 gamma=90.00
Space group Immm (No. 71)
One atom of each set of equivalent atoms:
Er 0.000 0.000 0.000 [2 per cell]
Tm 0.000 0.000 0.285 [4 per cell]
Mg 0.000 0.205 0.500 [4 per cell]
Mg 0.000 0.311 0.134 [8 per cell]
Mg 0.000 0.500 0.348 [4 per cell]